GGA-PBE ScCuSi, relaxed; volume = 15.73 Å³ per atom; crystal system = trigonal
1.0
4.263 0.000 0.000
-2.131 3.692 0.000
0.000 0.000 5.993
Sc Cu Si
2 2 2
Cartesian
0.000 2.461 1.106 Sc
2.131 1.231 4.887 Sc
0.000 2.461 3.776 Cu
2.131 1.231 2.217 Cu
0.000 0.000 0.000 Si
0.000 0.000 2.997 Si


GGA-PBE ScCu2Si2, relaxed; volume = 14.53 Å³ per atom; crystal system = tetragonal
1.0
7.260 0.000 0.000
0.000 7.260 0.000
0.000 0.000 2.756
Sc Cu Si
2 4 4
Cartesian
0.000 0.000 0.000 Sc
3.630 3.630 0.000 Sc
0.881 2.749 0.000 Cu
2.749 6.379 0.000 Cu
4.511 0.881 0.000 Cu
6.379 4.511 0.000 Cu
1.277 4.907 1.378 Si
2.353 1.277 1.378 Si
4.907 5.983 1.378 Si
5.983 2.353 1.378 Si


GGA-PBE ScCuSi2, relaxed; volume = 15.80 Å³ per atom; crystal system = cubic
1.0
6.323 0.000 0.000
0.000 6.323 0.000
0.000 0.000 6.323
Sc Cu Si
4 4 8
Cartesian
0.000 0.000 0.000 Sc
0.000 3.161 3.161 Sc
3.161 0.000 3.161 Sc
3.161 3.161 0.000 Sc
0.000 0.000 3.161 Cu
0.000 3.161 0.000 Cu
3.161 0.000 0.000 Cu
3.161 3.161 3.161 Cu
1.581 1.581 1.581 Si
1.581 1.581 4.742 Si
1.581 4.742 1.581 Si
1.581 4.742 4.742 Si
4.742 1.581 1.581 Si
4.742 1.581 4.742 Si
4.742 4.742 1.581 Si
4.742 4.742 4.742 Si


GGA-PBE Sc3CuSi3, relaxed; volume = 17.13 Å³ per atom; crystal system = monoclinic
1.0
4.945 -2.006 0.000
4.945 2.006 0.000
-4.432 0.000 12.092
Sc Cu Si
6 2 6
Cartesian
-1.413 0.000 4.568 Sc
-3.074 0.000 11.160 Sc
1.396 0.000 2.694 Sc
4.063 0.000 9.398 Sc
8.532 0.000 0.932 Sc
6.872 0.000 7.524 Sc
-0.105 0.000 7.272 Cu
5.563 0.000 4.820 Cu
1.663 0.000 5.471 Si
-0.304 0.000 11.179 Si
1.233 0.000 9.294 Si
4.226 0.000 2.798 Si
5.763 0.000 0.913 Si
3.796 0.000 6.621 Si


GGA-PBE Sc2Cu2Si, relaxed; volume = 16.62 Å³ per atom; crystal system = tetragonal
1.0
6.449 0.000 0.000
0.000 6.449 0.000
0.000 0.000 3.996
Sc Cu Si
4 4 2
Cartesian
1.123 2.101 0.000 Sc
2.101 5.325 0.000 Sc
4.348 1.123 0.000 Sc
5.325 4.348 0.000 Sc
0.857 4.081 1.998 Cu
2.367 0.857 1.998 Cu
4.081 5.592 1.998 Cu
5.592 2.367 1.998 Cu
0.000 0.000 1.998 Si
3.224 3.224 1.998 Si


GGA-PBE Sc4CuSi, relaxed; volume = 20.81 Å³ per atom; crystal system = cubic
1.0
0.000 3.967 3.967
3.967 0.000 3.967
3.967 3.967 0.000
Sc Cu Si
4 1 1
Cartesian
0.986 0.986 0.986 Sc
2.981 2.981 0.986 Sc
2.981 0.986 2.981 Sc
0.986 2.981 2.981 Sc
3.967 3.967 3.967 Cu
5.950 5.950 5.950 Si


GGA-PBE ScCuSi, relaxed; volume = 15.80 Å³ per atom; crystal system = orthorhombic
1.0
3.694 0.000 0.000
0.000 9.820 0.000
0.000 0.000 5.227
Sc Cu Si
4 4 4
Cartesian
0.000 1.981 1.307 Sc
0.000 7.838 3.920 Sc
1.847 2.929 3.920 Sc
1.847 6.891 1.307 Sc
0.000 4.910 0.000 Cu
0.000 4.910 2.613 Cu
1.847 0.000 0.000 Cu
1.847 0.000 2.613 Cu
0.000 0.911 3.920 Si
0.000 8.909 1.307 Si
1.847 3.999 1.307 Si
1.847 5.820 3.920 Si


GGA-PBE ScCuSi2, relaxed; volume = 15.49 Å³ per atom; crystal system = orthorhombic
1.0
3.218 0.000 0.000
0.000 3.452 0.000
0.000 0.000 5.576
Sc Cu Si
1 1 2
Cartesian
0.000 0.000 0.000 Sc
1.609 1.726 3.869 Cu
0.000 0.000 2.775 Si
1.609 1.726 1.475 Si


GGA-PBE ScCuSi2, relaxed; volume = 14.82 Å³ per atom; crystal system = tetragonal
1.0
3.942 0.000 0.000
0.000 3.942 0.000
0.000 0.000 3.814
Sc Cu Si
1 1 2
Cartesian
0.000 0.000 0.000 Sc
1.971 1.971 0.000 Cu
0.000 1.971 1.907 Si
1.971 0.000 1.907 Si


GGA-PBE ScCuSi, relaxed; volume = 16.58 Å³ per atom; crystal system = monoclinic
1.0
7.133 0.000 0.000
0.000 4.103 0.000
-2.380 0.000 6.797
Sc Cu Si
4 4 4
Cartesian
1.194 0.000 1.321 Sc
-0.007 2.051 5.477 Sc
4.761 2.051 1.321 Sc
3.559 0.000 5.477 Sc
-0.002 2.051 2.705 Cu
1.189 0.000 4.093 Cu
3.564 0.000 2.705 Cu
4.756 2.051 4.093 Cu
-1.190 0.000 3.399 Si
0.000 2.051 0.000 Si
3.567 0.000 0.000 Si
2.377 2.051 3.399 Si


GGA-PBE ScCuSi2, relaxed; volume = 15.67 Å³ per atom; crystal system = tetragonal
1.0
3.233 0.000 0.000
0.000 3.233 0.000
0.000 0.000 5.996
Sc Cu Si
1 1 2
Cartesian
0.000 0.000 0.000 Sc
0.000 0.000 2.998 Cu
1.616 1.616 1.791 Si
1.616 1.616 4.205 Si


GGA-PBE ScCuSi2, relaxed; volume = 15.48 Å³ per atom; crystal system = orthorhombic
1.0
2.915 0.000 0.000
0.000 4.369 0.000
0.000 0.000 4.863
Sc Cu Si
1 1 2
Cartesian
0.000 0.000 0.000 Sc
1.457 2.185 1.273 Cu
1.457 0.000 2.420 Si
1.457 2.185 3.730 Si


GGA-PBE ScCuSi, relaxed; volume = 16.60 Å³ per atom; crystal system = triclinic
1.0
4.072 0.000 0.000
1.991 4.917 0.000
0.938 1.733 4.975
Sc Cu Si
2 2 2
Cartesian
1.096 1.141 1.000 Sc
5.905 5.509 3.975 Sc
3.036 3.157 1.071 Cu
3.965 3.492 3.904 Cu
1.933 2.484 3.260 Si
5.068 4.165 1.715 Si


GGA-PBE ScCuSi, relaxed; volume = 16.50 Å³ per atom; crystal system = orthorhombic
1.0
3.127 0.000 0.000
0.000 4.032 0.000
0.000 0.000 7.850
Sc Cu Si
2 2 2
Cartesian
0.000 0.000 0.000 Sc
1.563 2.016 3.925 Sc
0.000 0.000 5.205 Cu
1.563 2.016 1.281 Cu
0.000 0.000 2.700 Si
1.563 2.016 6.625 Si


GGA-PBE ScCuSi, relaxed; volume = 15.65 Å³ per atom; crystal system = hexagonal
1.0
6.420 0.000 0.000
-3.210 5.560 0.000
0.000 0.000 3.947
Sc Cu Si
3 3 3
Cartesian
-1.831 3.172 0.000 Sc
1.379 2.388 0.000 Sc
3.662 0.000 0.000 Sc
-0.780 1.350 1.973 Cu
1.559 0.000 1.973 Cu
2.431 4.210 1.973 Cu
0.000 0.000 0.000 Si
0.000 3.707 1.973 Si
3.210 1.853 1.973 Si


GGA-PBE ScCuSi, relaxed; volume = 15.71 Å³ per atom; crystal system = orthorhombic
1.0
4.075 0.000 0.000
0.000 6.547 0.000
0.000 0.000 7.064
Sc Cu Si
4 4 4
Cartesian
0.000 0.000 0.000 Sc
0.000 3.274 0.383 Sc
2.038 0.000 3.915 Sc
2.038 3.274 3.532 Sc
0.000 1.382 2.533 Cu
0.000 5.165 2.533 Cu
2.038 1.892 6.065 Cu
2.038 4.656 6.065 Cu
0.000 1.804 4.868 Si
0.000 4.743 4.868 Si
2.038 1.469 1.336 Si
2.038 5.078 1.336 Si


GGA-PBE ScCuSi, relaxed; volume = 16.00 Å³ per atom; crystal system = tetragonal
1.0
3.802 0.000 0.000
0.000 3.802 0.000
0.000 0.000 13.288
Sc Cu Si
4 4 4
Cartesian
0.000 0.000 2.267 Sc
0.000 0.000 11.021 Sc
1.901 1.901 4.377 Sc
1.901 1.901 8.911 Sc
0.000 1.901 0.000 Cu
0.000 1.901 6.644 Cu
1.901 0.000 0.000 Cu
1.901 0.000 6.644 Cu
0.000 0.000 5.073 Si
0.000 0.000 8.215 Si
1.901 1.901 1.571 Si
1.901 1.901 11.717 Si


GGA-PBE ScCuSi2, relaxed; volume = 15.33 Å³ per atom; crystal system = tetragonal
1.0
3.784 0.000 0.000
0.000 3.784 0.000
0.000 0.000 8.562
Sc Cu Si
2 2 4
Cartesian
0.000 0.000 0.000 Sc
1.892 1.892 4.281 Sc
0.000 0.000 4.281 Cu
1.892 1.892 0.000 Cu
0.000 1.892 2.140 Si
0.000 1.892 6.421 Si
1.892 0.000 2.140 Si
1.892 0.000 6.421 Si


GGA-PBE ScCuSi, relaxed; volume = 17.07 Å³ per atom; crystal system = monoclinic
1.0
9.093 0.000 0.000
0.000 4.023 0.000
-2.286 0.000 5.599
Sc Cu Si
4 4 4
Cartesian
0.000 0.000 0.000 Sc
0.886 2.012 2.612 Sc
4.547 2.012 0.000 Sc
5.432 0.000 2.612 Sc
2.922 0.000 1.278 Cu
2.745 0.000 3.719 Cu
7.469 2.012 1.278 Cu
7.291 2.012 3.719 Cu
-0.981 0.000 2.629 Si
0.529 0.000 4.586 Si
3.565 2.012 2.629 Si
5.076 2.012 4.586 Si


GGA-PBE ScCuSi, relaxed; volume = 15.79 Å³ per atom; crystal system = monoclinic
1.0
9.651 0.000 0.000
0.000 3.992 0.000
-4.259 0.000 4.919
Sc Cu Si
4 4 4
Cartesian
-0.788 0.000 1.469 Sc
1.354 1.996 3.450 Sc
4.038 1.996 1.469 Sc
6.180 0.000 3.450 Sc
1.202 1.996 0.480 Cu
-0.635 0.000 4.439 Cu
6.027 0.000 0.480 Cu
4.190 1.996 4.439 Cu
-1.428 1.996 3.438 Si
1.995 0.000 1.481 Si
3.397 0.000 3.438 Si
6.820 1.996 1.481 Si


| no. | electronic total energy (hartree per atom) |
| --- | --- |
| 1 | -0.2089 |
| 2 | -0.1916 |
| 3 | -0.1957 |
| 4 | -0.2342 |
| 5 | -0.2069 |
| 6 | -0.1972 |
| 7 | -0.2139 |
| 8 | -0.2019 |
| 9 | -0.2085 |
| 10 | -0.2126 |
| 11 | -0.2014 |
| 12 | -0.2060 |
| 13 | -0.2107 |
| 14 | -0.1998 |
| 15 | -0.2188 |
| 16 | -0.2171 |
| 17 | -0.2151 |
| 18 | -0.2027 |
| 19 | -0.2076 |
| 20 | -0.2161 |